No. 1
RbNpIn2O8 | GGA-PBE | relaxed

Results
**Formation energy from raw total energies**: -1.701 eV/atom
**DOS(E_F)**: 0.33 states/eV per atom

a b c (Å): 5.0586 5.1000 8.0327
angles (deg): 86.81 91.14 88.30
With the nearest neighbours (Å) after each atom.
Element x y z (fractional)
Rb  0.0000  0.0000  0.5000  6 O 2.86-2.98
Np  0.0000  0.0000  0.0000  4 O 1.94-2.00
In  0.5011  0.5062  0.8069  5 O 2.09-2.25
In  0.4989  0.4938  0.1931  5 O 2.09-2.25
O  0.1933  0.8004  0.1883  1 Np 2.00, 1 In 2.16
O  0.7037  0.6978  0.9993  2 In 2.13, 1 Np 2.18
O  0.8101  0.1735  0.1730  1 Np 1.94
O  0.8067  0.1996  0.8117  1 Np 2.00, 1 In 2.16
O  0.2963  0.3022  0.0007  2 In 2.13, 1 Np 2.18
O  0.1899  0.8265  0.8270  1 Np 1.94
O  0.4370  0.5983  0.5521  1 O 1.48
O  0.5630  0.4017  0.4479  1 O 1.48

No. 2
Rb2Np3InO12 | GGA-PBE | relaxed

Results
**Formation energy from raw total energies**: -2.449 eV/atom
**DOS(E_F)**: 0.58 states/eV per atom

a b c (Å): 7.6692 7.6692 7.6692
angles (deg): 62.36 62.36 62.36
With the nearest neighbours (Å) after each atom.
Element x y z (fractional)
Rb  0.6243  0.6243  0.6243  6 O 3.39-3.42
Rb  0.3757  0.3757  0.3757  6 O 3.39-3.42
Np  0.5000  0.0000  0.0000  6 O 1.94-2.11
Np  0.0000  0.5000  0.0000  6 O 1.94-2.11
Np  0.0000  0.0000  0.5000  6 O 1.94-2.11
In  0.0000  0.0000  0.0000  6 O 2.18
O  0.3140  0.3140  0.9303  2 Np 2.11
O  0.9315  0.9315  0.3298  1 Np 1.94, 1 In 2.18
O  0.3298  0.9315  0.9315  1 Np 1.94, 1 In 2.18
O  0.9303  0.3140  0.3140  2 Np 2.11
O  0.9315  0.3298  0.9315  1 Np 1.94, 1 In 2.18
O  0.3140  0.9303  0.3140  2 Np 2.11
O  0.6860  0.6860  0.0697  2 Np 2.11
O  0.0685  0.0685  0.6702  1 Np 1.94, 1 In 2.18
O  0.6702  0.0685  0.0685  1 Np 1.94, 1 In 2.18
O  0.0697  0.6860  0.6860  2 Np 2.11
O  0.0685  0.6702  0.0685  1 Np 1.94, 1 In 2.18
O  0.6860  0.0697  0.6860  2 Np 2.11

No. 3
Rb2NpInO6 | GGA-PBE | relaxed

Results
**Formation energy from raw total energies**: -2.100 eV/atom

a b c (Å): 6.0384 6.0383 8.5421
angles (deg): 90.00 90.00 90.00
With the nearest neighbours (Å) after each atom.
Element x y z (fractional)
Rb  0.5000  0.7499  0.2500  12 O 3.02
Rb  0.0000  0.2501  0.7500  12 O 3.02
Rb  0.5000  0.7499  0.7500  12 O 3.02
Rb  0.0000  0.2501  0.2500  12 O 3.02
Np  0.5000  0.2498  0.5000  6 O 2.04
Np  0.0000  0.7502  0.0000  6 O 2.04
In  0.0000  0.7499  0.5000  6 O 2.23
In  0.5000  0.2501  0.0000  6 O 2.23
O  0.5000  0.2499  0.2614  1 Np 2.04, 1 In 2.23
O  0.5000  0.2499  0.7386  1 Np 2.04, 1 In 2.23
O  0.0000  0.7501  0.2386  1 Np 2.04, 1 In 2.23
O  0.0000  0.7501  0.7614  1 Np 2.04, 1 In 2.23
O  0.2612  0.0109  0.5000  1 Np 2.04, 1 In 2.23
O  0.7388  0.0109  0.5000  1 Np 2.04, 1 In 2.23
O  0.2611  0.4887  0.5000  1 Np 2.04, 1 In 2.23
O  0.7389  0.4887  0.5000  1 Np 2.04, 1 In 2.23
O  0.7611  0.5113  0.0000  1 Np 2.04, 1 In 2.23
O  0.2389  0.5113  0.0000  1 Np 2.04, 1 In 2.23
O  0.2388  0.9891  0.0000  1 Np 2.04, 1 In 2.23
O  0.7612  0.9891  0.0000  1 Np 2.04, 1 In 2.23

No. 4
Rb3Np2InO9 | GGA-PBE | relaxed

Results
**Formation energy from raw total energies**: -2.327 eV/atom
**DOS(E_F)**: 0.00 states/eV per atom

a b c (Å): 6.0612 6.0612 7.4362
angles (deg): 90.00 90.00 120.00
With the nearest neighbours (Å) after each atom.
Element x y z (fractional)
Rb  0.3333  0.6667  0.6613  12 O 3.01-3.07
Rb  0.0000  0.0000  0.0000  12 O 3.02-3.03
Rb  0.6667  0.3333  0.3387  12 O 3.01-3.07
Np  0.3333  0.6667  0.1704  6 O 2.03-2.16
Np  0.6667  0.3333  0.8296  6 O 2.03-2.16
In  0.0000  0.0000  0.5000  6 O 2.24
O  0.8266  0.1734  0.6752  1 Np 2.03, 1 In 2.24
O  0.8266  0.6533  0.6752  1 Np 2.03, 1 In 2.24
O  0.3467  0.1734  0.6752  1 Np 2.03, 1 In 2.24
O  0.6533  0.8266  0.3248  1 Np 2.03, 1 In 2.24
O  0.1734  0.3467  0.3248  1 Np 2.03, 1 In 2.24
O  0.1734  0.8266  0.3248  1 Np 2.03, 1 In 2.24
O  0.5000  0.0000  0.0000  2 Np 2.16
O  0.0000  0.5000  0.0000  2 Np 2.16
O  0.5000  0.5000  0.0000  2 Np 2.16

No. 5
NpIn2SbO8 | GGA-PBE | relaxed

Results
**Formation energy from raw total energies**: -1.892 eV/atom
**DOS(E_F)**: 0.31 states/eV per atom

a b c (Å): 4.8932 4.8922 6.7630
angles (deg): 90.00 90.00 91.48
With the nearest neighbours (Å) after each atom.
Element x y z (fractional)
Np  0.0000  0.0000  0.0000  6 O 2.06-2.21
In  0.5000  0.5000  0.7403  6 O 2.16-2.22
In  0.5000  0.5000  0.2597  6 O 2.16-2.22
Sb  0.0000  0.0000  0.5000  6 O 1.99-2.05
O  0.1847  0.8143  0.2645  1 Sb 2.05, 1 In 2.21, 1 Np 2.21
O  0.6975  0.6986  0.0000  1 Np 2.06, 2 In 2.22
O  0.8152  0.1856  0.2645  1 Sb 2.05, 1 In 2.21, 1 Np 2.21
O  0.8153  0.1857  0.7355  1 Sb 2.05, 1 In 2.21, 1 Np 2.21
O  0.3025  0.3014  0.0000  1 Np 2.06, 2 In 2.22
O  0.1848  0.8144  0.7355  1 Sb 2.05, 1 In 2.21, 1 Np 2.21
O  0.7074  0.7084  0.5000  1 Sb 1.99, 2 In 2.16
O  0.2926  0.2916  0.5000  1 Sb 1.99, 2 In 2.16

No. 6
NpInSbO6 | GGA-PBE | relaxed

Results
**Formation energy from raw total energies**: -1.913 eV/atom
**DOS(E_F)**: 0.00 states/eV per atom

a b c (Å): 5.5596 5.5596 9.7434
angles (deg): 90.00 90.00 120.00
With the nearest neighbours (Å) after each atom.
Element x y z (fractional)
Np  0.6667  0.3333  0.2500  6 O 2.09
Np  0.3333  0.6667  0.7500  6 O 2.09
In  0.3333  0.6667  0.2500  6 O 2.21
In  0.6667  0.3333  0.7500  6 O 2.21
Sb  0.0000  0.0000  0.0000  6 O 2.31
Sb  0.0000  0.0000  0.5000  6 O 2.31
O  0.6644  0.6477  0.1325  1 Np 2.09, 1 In 2.21, 1 Sb 2.31
O  0.9833  0.3356  0.1325  1 Np 2.09, 1 In 2.21, 1 Sb 2.31
O  0.3356  0.9833  0.6325  1 Np 2.09, 1 In 2.21, 1 Sb 2.31
O  0.0167  0.6644  0.8675  1 Np 2.09, 1 In 2.21, 1 Sb 2.31
O  0.3523  0.3356  0.3675  1 Np 2.09, 1 In 2.21, 1 Sb 2.31
O  0.9833  0.6477  0.3675  1 Np 2.09, 1 In 2.21, 1 Sb 2.31
O  0.6477  0.9833  0.8675  1 Np 2.09, 1 In 2.21, 1 Sb 2.31
O  0.6644  0.0167  0.3675  1 Np 2.09, 1 In 2.21, 1 Sb 2.31
O  0.0167  0.3523  0.6325  1 Np 2.09, 1 In 2.21, 1 Sb 2.31
O  0.3523  0.0167  0.1325  1 Np 2.09, 1 In 2.21, 1 Sb 2.31
O  0.6477  0.6644  0.6325  1 Np 2.09, 1 In 2.21, 1 Sb 2.31
O  0.3356  0.3523  0.8675  1 Np 2.09, 1 In 2.21, 1 Sb 2.31

No. 7
NpScIn2O8 | GGA-PBE | relaxed

Results
**Formation energy from raw total energies**: -2.292 eV/atom

a b c (Å): 4.9775 4.9780 6.6043
angles (deg): 90.00 90.00 92.04
With the nearest neighbours (Å) after each atom.
Element x y z (fractional)
Np  0.0000  0.0000  0.0000  6 O 2.01-2.08
Sc  0.0000  0.0000  0.5000  6 O 2.05-2.19
In  0.5000  0.5000  0.7397  6 O 2.12-2.30
In  0.5000  0.5000  0.2603  6 O 2.12-2.30
O  0.1802  0.8193  0.2329  1 Np 2.01, 1 Sc 2.19
O  0.6994  0.7000  0.0000  1 Np 2.08, 2 In 2.20
O  0.8198  0.1807  0.2329  1 Np 2.01, 1 Sc 2.19
O  0.8198  0.1807  0.7671  1 Np 2.01, 1 Sc 2.19
O  0.3006  0.3000  0.0000  1 Np 2.08, 2 In 2.20
O  0.1802  0.8193  0.7671  1 Np 2.01, 1 Sc 2.19
O  0.7036  0.7040  0.5000  1 Sc 2.05, 2 In 2.12
O  0.2964  0.2960  0.5000  1 Sc 2.05, 2 In 2.12

No. 8
NpInSe2O | GGA-PBE | relaxed

Results
**Formation energy from raw total energies**: -1.479 eV/atom
**DOS(E_F)**: 1.46 states/eV per atom

a b c (Å): 3.8816 3.8816 14.9631
angles (deg): 90.00 90.00 90.00
With the nearest neighbours (Å) after each atom.
Element x y z (fractional)
Np  0.5000  0.0000  0.5836  4 O 2.31
Np  0.0000  0.5000  0.4164  4 O 2.31
In  0.5000  0.0000  0.1346  5 Se 2.79-2.80
In  0.0000  0.5000  0.8654  5 Se 2.79-2.80
Se  0.0000  0.5000  0.6789  1 In 2.79, 4 Np 3.09
Se  0.0000  0.5000  0.0981  4 In 2.80
Se  0.5000  0.0000  0.9019  4 In 2.80
Se  0.5000  0.0000  0.3211  1 In 2.79, 4 Np 3.09
O  0.0000  0.0000  0.5000  4 Np 2.31
O  0.5000  0.5000  0.5000  4 Np 2.31

No. 9
SmNpIn2O8 | GGA-PBE | relaxed

Results
**Formation energy from raw total energies**: -2.265 eV/atom
**DOS(E_F)**: 0.28 states/eV per atom

a b c (Å): 5.0538 5.0519 6.8799
angles (deg): 90.00 90.00 90.46
With the nearest neighbours (Å) after each atom.
Element x y z (fractional)
Sm  0.0000  0.0000  0.5000  6 O 2.24-2.36
Np  0.0000  0.0000  0.0000  6 O 2.00-2.12
In  0.5000  0.5000  0.7472  6 O 2.15-2.27
In  0.5000  0.5000  0.2528  6 O 2.15-2.27
O  0.1859  0.8142  0.2170  1 Np 2.00
O  0.7026  0.7026  0.0000  1 Np 2.12, 2 In 2.26
O  0.8141  0.1858  0.2170  1 Np 2.00
O  0.8141  0.1858  0.7830  1 Np 2.00
O  0.2974  0.2974  0.0000  1 Np 2.12, 2 In 2.26
O  0.1859  0.8142  0.7830  1 Np 2.00
O  0.6855  0.6849  0.5000  2 In 2.15, 1 Sm 2.24
O  0.3145  0.3151  0.5000  2 In 2.15, 1 Sm 2.24

No. 10
Sr2NpInO6 | GGA-PBE | relaxed

Results
**Formation energy from raw total energies**: -2.649 eV/atom
**DOS(E_F)**: 0.77 states/eV per atom

a b c (Å): 5.9130 6.0283 8.4188
angles (deg): 90.00 89.86 90.00
With the nearest neighbours (Å) after each atom.
Element x y z (fractional)
Sr  0.0101  0.9576  0.2509  5 O 2.53-2.82
Sr  0.5101  0.5424  0.7509  5 O 2.53-2.82
Sr  0.9899  0.0424  0.7491  5 O 2.53-2.82
Sr  0.4899  0.4576  0.2491  5 O 2.53-2.82
Np  0.5000  0.0000  0.5000  6 O 2.14-2.15
Np  0.0000  0.5000  0.0000  6 O 2.14-2.15
In  0.5000  0.0000  0.0000  6 O 2.21-2.22
In  0.0000  0.5000  0.5000  6 O 2.21-2.22
O  0.2904  0.7031  0.0458  1 Np 2.14, 1 In 2.21
O  0.7904  0.7969  0.5458  1 Np 2.14, 1 In 2.21
O  0.7096  0.2969  0.9542  1 Np 2.14, 1 In 2.21
O  0.2096  0.2031  0.4542  1 Np 2.14, 1 In 2.21
O  0.2984  0.7118  0.4515  1 Np 2.15, 1 In 2.22
O  0.7984  0.7882  0.9515  1 Np 2.15, 1 In 2.22
O  0.7016  0.2882  0.5485  1 Np 2.15, 1 In 2.22
O  0.2016  0.2118  0.0485  1 Np 2.15, 1 In 2.22
O  0.9105  0.5310  0.2466  1 Np 2.15, 1 In 2.21
O  0.4105  0.9690  0.7466  1 Np 2.15, 1 In 2.21
O  0.0895  0.4690  0.7534  1 Np 2.15, 1 In 2.21
O  0.5895  0.0310  0.2534  1 Np 2.15, 1 In 2.21

No. 11
SrNpIn2O8 | GGA-PBE | relaxed

Results
**Formation energy from raw total energies**: -1.994 eV/atom

a b c (Å): 5.0585 5.0395 7.0608
angles (deg): 90.00 90.00 89.65
With the nearest neighbours (Å) after each atom.
Element x y z (fractional)
Sr  0.0000  0.0000  0.5000  6 O 2.45-2.47
Np  0.0000  0.0000  0.0000  6 O 1.98-2.14
In  0.5000  0.5000  0.7630  6 O 2.19-2.23
In  0.5000  0.5000  0.2370  6 O 2.19-2.23
O  0.1776  0.8007  0.2062  1 Np 1.98
O  0.6917  0.7101  0.0000  1 Np 2.14, 2 In 2.21
O  0.8224  0.1993  0.2062  1 Np 1.98
O  0.8224  0.1993  0.7938  1 Np 1.98
O  0.3083  0.2899  0.0000  1 Np 2.14, 2 In 2.21
O  0.1776  0.8007  0.7938  1 Np 1.98
O  0.6334  0.6851  0.5000  2 In 2.19, 1 O 2.31, 1 Sr 2.45
O  0.3666  0.3149  0.5000  2 In 2.19, 1 O 2.31, 1 Sr 2.45

No. 12
NpTaInO6 | GGA-PBE | relaxed

Results
**Formation energy from raw total energies**: -2.473 eV/atom
**DOS(E_F)**: 1.29 states/eV per atom

a b c (Å): 5.4076 5.4076 9.7151
angles (deg): 90.00 90.00 120.00
With the nearest neighbours (Å) after each atom.
Element x y z (fractional)
Np  0.0000  0.0000  0.0000  6 O 2.27
Np  0.0000  0.0000  0.5000  6 O 2.27
Ta  0.6667  0.3333  0.2500  6 O 2.01
Ta  0.3333  0.6667  0.7500  6 O 2.01
In  0.3333  0.6667  0.2500  6 O 2.20
In  0.6667  0.3333  0.7500  6 O 2.20
O  0.6705  0.6439  0.1340  1 Ta 2.01, 1 In 2.20
O  0.9734  0.3295  0.1340  1 Ta 2.01, 1 In 2.20
O  0.3295  0.9734  0.6340  1 Ta 2.01, 1 In 2.20
O  0.0266  0.6705  0.8660  1 Ta 2.01, 1 In 2.20
O  0.3561  0.3295  0.3660  1 Ta 2.01, 1 In 2.20
O  0.9734  0.6439  0.3660  1 Ta 2.01, 1 In 2.20
O  0.6439  0.9734  0.8660  1 Ta 2.01, 1 In 2.20
O  0.6705  0.0266  0.3660  1 Ta 2.01, 1 In 2.20
O  0.0266  0.3561  0.6340  1 Ta 2.01, 1 In 2.20
O  0.3561  0.0266  0.1340  1 Ta 2.01, 1 In 2.20
O  0.6439  0.6705  0.6340  1 Ta 2.01, 1 In 2.20
O  0.3295  0.3561  0.8660  1 Ta 2.01, 1 In 2.20

Among the records above, which one has the highest formation energy from raw total energies? NpInSe2O

What is the formation energy from raw total energies in the ninth record? -2.265 eV/atom